No. 1
{"formula": "Zn2Ni2Sn", "functional": "PBE", "state": "optimized geometry", "e_form_ev_per_atom": -0.15, "space_group": "P-3m1 (164)", "crystal_system": "trigonal", "n_ef_per_ev_atom": 0.6140, "volume_a3_per_atom": 15.57, "lattice": [[4.233, 0.000, 0.000], [-2.116, 3.665, 0.000], [0.000, 0.000, 5.019]], "species": ["Zn", "Zn", "Ni", "Ni", "Sn"], "frac_coords": [[0.333, 0.667, 0.373], [0.667, 0.333, 0.627], [0.333, 0.667, 0.863], [0.667, 0.333, 0.137], [0.000, 0.000, 0.000]]}



No. 2
{"formula": "NaSrLi2Zn", "functional": "PBE", "state": "optimized geometry", "e_form_ev_per_atom": 0.09, "space_group": "P4/mmm (123)", "e_above_lowest_polymorph_mev_per_atom": 0, "crystal_system": "tetragonal", "n_ef_per_ev_atom": 0.5802, "volume_a3_per_atom": 29.94, "lattice": [[5.211, 0.000, 0.000], [0.000, 5.211, 0.000], [0.000, 0.000, 5.513]], "species": ["Na", "Sr", "Li", "Li", "Zn"], "frac_coords": [[0.000, 0.000, 0.000], [0.500, 0.500, 0.000], [0.000, 0.500, 0.500], [0.500, 0.000, 0.500], [0.000, 0.000, 0.500]]}



M_tot, record by record: 0.000 0.000 μB/atom